MnTl3W2O9 | PBE with a Hubbard U | relaxed

Cell and atoms, written as CIF:
```
data_MnTl3W2O9
_chemical_formula_sum 'Mn1 Tl3 W2 O9'
_symmetry_space_group_name_H-M 'P -3 m 1'
_symmetry_Int_Tables_number 164
_symmetry_space_group_name_Hall '-P 3 2"'
_cell_length_a 5.7685
_cell_length_b 5.7685
_cell_length_c 7.2725
_cell_angle_alpha 90.00
_cell_angle_beta 90.00
_cell_angle_gamma 120.00
loop_
_atom_site_label
_atom_site_type_symbol
_atom_site_fract_x
_atom_site_fract_y
_atom_site_fract_z
Mn1 Mn 0.0000 0.0000 0.0000
Tl1 Tl 0.0000 0.0000 0.5000
Tl2 Tl 0.3333 0.6667 0.1603
W1 W 0.3333 0.6667 0.6688
O1 O 0.0000 0.5000 0.5000
O2 O 0.1740 0.3481 0.8080
```

## Properties
crystal system	trigonal
Fermi-level density of states	1.92	states/eV/f.u.

Mn2Tl2WO6 | PBE with a Hubbard U | relaxed

Cell and atoms, written as CIF:
```
data_Mn2Tl2WO6
_chemical_formula_sum 'Mn4 Tl4 W2 O12'
_symmetry_space_group_name_H-M 'C 1 2/m 1'
_symmetry_Int_Tables_number 12
_cell_length_a 5.3640
_cell_length_b 8.9846
_cell_length_c 7.4942
_cell_angle_alpha 90.00
_cell_angle_beta 103.76
_cell_angle_gamma 90.00
loop_
_symmetry_equiv_pos_as_xyz
'x,y,z'
'-x,-y,-z'
'-x,y,-z'
'x,-y,z'
'x+1/2,y+1/2,z'
'-x+1/2,-y+1/2,-z'
'-x+1/2,y+1/2,-z'
'x+1/2,-y+1/2,z'
loop_
_atom_site_label
_atom_site_type_symbol
_atom_site_fract_x
_atom_site_fract_y
_atom_site_fract_z
Mn1 Mn 0.0000 0.1652 0.0000
Tl1 Tl 0.0000 0.1732 0.5000
W1 W 0.0000 0.5000 0.0000
O1 O 0.1163 0.0000 0.8620
O2 O 0.1164 0.3319 0.8632
```

## Properties
crystal system	monoclinic
Fermi-level density of states	1.30	states/eV/f.u.

Mn3Tl3WO8 | PBE with a Hubbard U | relaxed

Cell and atoms, written as CIF:
```
data_Mn3Tl3WO8
_chemical_formula_sum 'Mn6 Tl6 W2 O16'
_symmetry_space_group_name_H-M 'C 1 2/m 1'
_symmetry_Int_Tables_number 12
_cell_length_a 11.1856
_cell_length_b 6.4612
_cell_length_c 7.5480
_cell_angle_alpha 90.00
_cell_angle_beta 119.65
_cell_angle_gamma 90.00
loop_
_symmetry_equiv_pos_as_xyz
'x,y,z'
'-x,-y,-z'
'-x,y,-z'
'x,-y,z'
'x+1/2,y+1/2,z'
'-x+1/2,-y+1/2,-z'
'-x+1/2,y+1/2,-z'
'x+1/2,-y+1/2,z'
loop_
_atom_site_label
_atom_site_type_symbol
_atom_site_fract_x
_atom_site_fract_y
_atom_site_fract_z
Mn1 Mn 0.0000 0.0000 0.0000
Mn2 Mn 0.2500 0.2500 0.0000
Tl1 Tl 0.0000 0.5000 0.5000
Tl2 Tl 0.2500 0.2500 0.5000
W1 W 0.0000 0.5000 0.0000
O1 O 0.0186 0.2794 0.8343
O2 O 0.2025 0.5000 0.1666
O3 O 0.2120 0.0000 0.1336
```

## Properties
crystal system	monoclinic
Fermi-level density of states	3.19	states/eV/f.u.

MnTlW2O | PBE with a Hubbard U | relaxed

Cell and atoms, written as CIF:
```
data_MnTlW2O
_chemical_formula_sum 'Mn1 Tl1 W2 O1'
_symmetry_space_group_name_H-M 'P 4/m m m'
_symmetry_Int_Tables_number 123
_symmetry_space_group_name_Hall '-P 4 2'
_cell_length_a 4.3829
_cell_length_b 4.3829
_cell_length_c 4.5486
_cell_angle_alpha 90.00
_cell_angle_beta 90.00
_cell_angle_gamma 90.00
loop_
_atom_site_label
_atom_site_type_symbol
_atom_site_fract_x
_atom_site_fract_y
_atom_site_fract_z
Mn1 Mn 0.0000 0.0000 0.0000
Tl1 Tl 0.5000 0.5000 0.0000
W1 W 0.0000 0.5000 0.5000
O1 O 0.0000 0.0000 0.5000
```

## Properties
crystal system	tetragonal
Fermi-level density of states	1.95	states/eV/f.u.

Y2MnTlO6 | PBE with a Hubbard U | relaxed

Cell and atoms, written as CIF:
```
data_Y2MnTlO6
_chemical_formula_sum 'Y2 Mn1 Tl1 O6'
_symmetry_space_group_name_H-M 'P 1'
_symmetry_Int_Tables_number 1
_cell_length_a 5.6313
_cell_length_b 5.6365
_cell_length_c 5.9066
_cell_angle_alpha 62.23
_cell_angle_beta 63.54
_cell_angle_gamma 61.60
loop_
_symmetry_equiv_pos_as_xyz
'x,y,z'
loop_
_atom_site_label
_atom_site_type_symbol
_atom_site_fract_x
_atom_site_fract_y
_atom_site_fract_z
Y1 Y 0.0000 0.0000 0.0000
Y2 Y 0.4988 0.4864 0.5286
Mn1 Mn 0.6983 0.7011 0.8960
Tl1 Tl 0.2190 0.2187 0.3507
O1 O 0.0934 0.4023 0.6728
O2 O 0.3076 0.8941 0.2034
O3 O 0.4338 0.7918 0.7119
O4 O 0.6134 0.3401 0.1573
O5 O 0.7894 0.0540 0.7083
O6 O 0.8852 0.6073 0.1663
```

## Properties
crystal system	triclinic

ZrMnTlO4 | PBE with a Hubbard U | relaxed

Cell and atoms, written as CIF:
```
data_ZrMnTlO4
_chemical_formula_sum 'Zr2 Mn2 Tl2 O8'
_symmetry_space_group_name_H-M 'P 1 21/m 1'
_symmetry_Int_Tables_number 11
_cell_length_a 5.7502
_cell_length_b 5.7881
_cell_length_c 7.4143
_cell_angle_alpha 90.00
_cell_angle_beta 102.68
_cell_angle_gamma 90.00
loop_
_symmetry_equiv_pos_as_xyz
'x,y,z'
'-x,-y,-z'
'-x,y+1/2,-z'
'x,-y+1/2,z'
loop_
_atom_site_label
_atom_site_type_symbol
_atom_site_fract_x
_atom_site_fract_y
_atom_site_fract_z
Zr1 Zr 0.1506 0.2500 0.4689
Mn1 Mn 0.4017 0.7500 0.6746
Tl1 Tl 0.1405 0.7500 0.1278
O1 O 0.1363 0.5150 0.6628
O2 O 0.2739 0.2500 0.2227
O3 O 0.4699 0.7500 0.4410
```

## Properties
crystal system	monoclinic

Tm3MnO | PBE with a Hubbard U | relaxed

Cell and atoms, written as CIF:
```
data_Tm3MnO
_chemical_formula_sum 'Tm3 Mn1 O1'
_symmetry_space_group_name_H-M 'P m -3 m'
_symmetry_Int_Tables_number 221
_symmetry_space_group_name_Hall '-P 4 2 3'
_cell_length_a 4.7175
_cell_length_b 4.7175
_cell_length_c 4.7175
_cell_angle_alpha 90.00
_cell_angle_beta 90.00
_cell_angle_gamma 90.00
loop_
_atom_site_label
_atom_site_type_symbol
_atom_site_fract_x
_atom_site_fract_y
_atom_site_fract_z
Tm1 Tm 0.0000 0.0000 0.5000
Mn1 Mn 0.5000 0.5000 0.5000
O1 O 0.0000 0.0000 0.0000
```

## Properties
crystal system	cubic
Fermi-level density of states	3.78	states/eV/f.u.

TmMn2O4 | PBE with a Hubbard U | relaxed

Cell and atoms, written as CIF:
```
data_TmMn2O4
_chemical_formula_sum 'Tm4 Mn8 O16'
_symmetry_space_group_name_H-M 'P c a 21'
_symmetry_Int_Tables_number 29
_cell_length_a 10.2847
_cell_length_b 3.1489
_cell_length_c 9.9820
_cell_angle_alpha 90.00
_cell_angle_beta 90.00
_cell_angle_gamma 90.00
loop_
_symmetry_equiv_pos_as_xyz
'x,y,z'
'-x,-y,z+1/2'
'-x+1/2,y,z+1/2'
'x+1/2,-y,z'
loop_
_atom_site_label
_atom_site_type_symbol
_atom_site_fract_x
_atom_site_fract_y
_atom_site_fract_z
Tm1 Tm 0.1387 0.2079 0.0000
Mn1 Mn 0.1135 0.6974 0.3111
Mn2 Mn 0.1244 0.7342 0.6732
O1 O 0.0197 0.6839 0.1208
O2 O 0.0476 0.7396 0.8539
O3 O 0.2073 0.7105 0.4962
O4 O 0.2430 0.1783 0.2259
```

## Properties
crystal system	orthorhombic

Tm3MnO6 | PBE with a Hubbard U | relaxed

Cell and atoms, written as CIF:
```
data_Tm3MnO6
_chemical_formula_sum 'Tm6 Mn2 O12'
_symmetry_space_group_name_H-M 'P 1 21/c 1'
_symmetry_Int_Tables_number 14
_cell_length_a 5.3802
_cell_length_b 5.6732
_cell_length_c 9.4663
_cell_angle_alpha 90.00
_cell_angle_beta 122.43
_cell_angle_gamma 90.00
loop_
_symmetry_equiv_pos_as_xyz
'x,y,z'
'-x,-y,-z'
'-x,y+1/2,-z+1/2'
'x,-y+1/2,z+1/2'
loop_
_atom_site_label
_atom_site_type_symbol
_atom_site_fract_x
_atom_site_fract_y
_atom_site_fract_z
Tm1 Tm 0.0000 0.0000 0.0000
Tm2 Tm 0.2811 0.0655 0.7533
Mn1 Mn 0.5000 0.0000 0.5000
O1 O 0.1206 0.0639 0.2627
O2 O 0.2802 0.6857 0.0724
O3 O 0.3948 0.2045 0.0741
```

## Properties
crystal system	monoclinic
Fermi-level density of states	0.00	states/eV/f.u.

TmMn2O6 | PBE with a Hubbard U | relaxed

Cell and atoms, written as CIF:
```
data_TmMn2O6
_chemical_formula_sum 'Tm1 Mn2 O6'
_symmetry_space_group_name_H-M 'P -3 1 m'
_symmetry_Int_Tables_number 162
_symmetry_space_group_name_Hall '-P 3 2'
_cell_length_a 4.9991
_cell_length_b 4.9991
_cell_length_c 4.7738
_cell_angle_alpha 90.00
_cell_angle_beta 90.00
_cell_angle_gamma 120.00
loop_
_atom_site_label
_atom_site_type_symbol
_atom_site_fract_x
_atom_site_fract_y
_atom_site_fract_z
Tm1 Tm 0.0000 0.0000 0.0000
Mn1 Mn 0.3333 0.6667 0.5000
O1 O 0.0000 0.3618 0.7203
```

## Properties
crystal system	trigonal
Fermi-level density of states	5.64	states/eV/f.u.

Tm12Mn3O5 | PBE with a Hubbard U | relaxed

Cell and atoms, written as CIF:
```
data_Tm12Mn3O5
_chemical_formula_sum 'Tm96 Mn24 O40'
_symmetry_space_group_name_H-M 'I a -3 d'
_symmetry_Int_Tables_number 230
_symmetry_space_group_name_Hall '-I 4bd 2c 3'
_cell_length_a 15.2763
_cell_length_b 15.2763
_cell_length_c 15.2763
_cell_angle_alpha 90.00
_cell_angle_beta 90.00
_cell_angle_gamma 90.00
loop_
_atom_site_label
_atom_site_type_symbol
_atom_site_fract_x
_atom_site_fract_y
_atom_site_fract_z
Tm1 Tm 0.0415 0.0499 0.6471
Mn1 Mn 0.0000 0.2500 0.1250
O1 O 0.0000 0.0000 0.0000
O2 O 0.0000 0.2500 0.3750
```

## Properties
crystal system	cubic
Fermi-level density of states	12.38	states/eV/f.u.

TmUMn2O8 | PBE with a Hubbard U | relaxed

Cell and atoms, written as CIF:
```
data_TmUMn2O8
_chemical_formula_sum 'Tm2 U2 Mn4 O16'
_symmetry_space_group_name_H-M 'C 1 2/m 1'
_symmetry_Int_Tables_number 12
_cell_length_a 6.8440
_cell_length_b 6.5632
_cell_length_c 6.7766
_cell_angle_alpha 90.00
_cell_angle_beta 93.82
_cell_angle_gamma 90.00
loop_
_symmetry_equiv_pos_as_xyz
'x,y,z'
'-x,-y,-z'
'-x,y,-z'
'x,-y,z'
'x+1/2,y+1/2,z'
'-x+1/2,-y+1/2,-z'
'-x+1/2,y+1/2,-z'
'x+1/2,-y+1/2,z'
loop_
_atom_site_label
_atom_site_type_symbol
_atom_site_fract_x
_atom_site_fract_y
_atom_site_fract_z
Tm1 Tm 0.0000 0.0000 0.0000
U1 U 0.0000 0.0000 0.5000
Mn1 Mn 0.0127 0.5000 0.2340
O1 O 0.0014 0.2053 0.2604
O2 O 0.1777 0.5000 0.9894
O3 O 0.1995 0.5000 0.4723
```

## Properties
crystal system	monoclinic
Fermi-level density of states	3.33	states/eV/f.u.

no.,total DFT energy (no corrections) (eV per atom)
1,-6.40
2,-6.30
3,-6.48
4,-5.38
5,-7.52
6,-7.42
7,-6.24
8,-7.93
9,-8.02
10,-7.34
11,-6.33
12,-8.24